First-principles (PBE+U) data for NiCO2F after structural relaxation, as listed in Alexandria via LeMat-Bulk.

It has space group P4/mmm (No. 123), with a = 3.040 Å, b = 3.040 Å, c = 5.433 Å, α = 90.00°, β = 90.00° and γ = 90.00°. The distinct sites, in fractional coordinates, are Ni at (0.000, 0.000, 0.000), C at (0.500, 0.500, 0.500), O at (0.000, 0.500, 0.500) and F at (0.500, 0.500, 0.000).

The theoretical density is 4.02 g/cm³. Its total DFT energy (no corrections) is -4.3641 eV per atom. The calculation puts the volume at 50.2 Å³ per cell.